The following is a DFT calculation (PBE-GGA) of a geometry-optimized SmMnTl2S4 structure.

Cell and atoms, written as POSCAR:
```
SmMnTl2S4
1.0
-4.029 4.171 5.771
4.029 -4.171 5.771
4.029 4.171 -5.771
Sm Mn Tl S
2 2 4 8
Direct
0.000 0.000 0.000
0.500 0.000 0.500
0.500 0.000 0.000
0.500 0.500 0.500
0.000 0.000 0.500
0.000 0.500 0.000
0.000 0.500 0.500
0.500 0.500 0.000
0.275 0.254 0.479
0.275 0.797 0.021
0.292 0.242 0.050
0.308 0.758 0.550
0.692 0.242 0.450
0.708 0.758 0.950
0.725 0.203 0.979
0.725 0.746 0.521
```

As for the formation energy (no corrections): -0.844 eV per atom. The total magnetization is 8.4 Bohr magnetons per cell. As for the density of states at the Fermi level: 8.036 states/eV per cell.